Entry 1:
RuRh | SCAN | PBEsol geometry

Properties
* SG: No. 8
* ΔH_f (0 K): 17 meV/atom

Cell: 2.686 5.040 6.334 Å, 103.43 90.00 105.45°
Atoms (fractional coordinates):
Ru: 0.059 0.118 0.613
Ru: 0.720 0.440 0.941
Ru: 0.665 0.330 0.334
Rh: 0.003 0.006 0.003
Rh: 0.332 0.665 0.664
Rh: 0.387 0.774 0.278

=====

Entry 2:
Ba4LaTiNb3O15 | SCAN | PBEsol geometry

Properties
* SG: No. 156
* formation energy without anion corrections: -3216 meV/atom

Cell: 5.736 5.736 11.652 Å, 90.00 90.00 120.00°
Atoms (fractional coordinates):
Ba: 0.333 0.667 0.576
Ba: 0.667 0.333 0.998
Ba: 0.000 0.000 0.426
Ba: 0.333 0.667 0.207
La: 0.000 0.000 0.784
O: 0.839 0.161 0.622
O: 0.498 0.995 0.806
O: 0.165 0.835 0.992
O: 0.000 0.500 0.392
O: 0.834 0.669 0.192
O: 0.670 0.835 0.992
O: 0.500 0.500 0.392
O: 0.839 0.679 0.622
O: 0.834 0.166 0.192
O: 0.005 0.502 0.806
O: 0.321 0.161 0.622
O: 0.500 0.000 0.392
O: 0.331 0.166 0.192
O: 0.165 0.330 0.992
O: 0.498 0.502 0.806
Nb: 0.667 0.333 0.317
Nb: 0.000 0.000 0.098
Nb: 0.667 0.333 0.691
Ti: 0.333 0.667 0.895

=====

Entry 3:
BaCrH3 | SCAN | PBEsol geometry

Properties
* SG: No. 221
* E: -13.965 eV/atom

Cell: 3.982 3.982 3.982 Å, 90.00 90.00 90.00°
Each line ends with the local moment (μB).
Atoms (fractional coordinates):
H: 0.000 0.000 0.500  -0.03
H: 0.500 0.000 0.000  -0.03
H: 0.000 0.500 0.000  -0.03
Cr: 0.000 0.000 0.000  3.97
Ba: 0.500 0.500 0.500  0.10

=====

Entry 4:
Zn3AsIr | SCAN | PBEsol geometry

Properties
* SG: No. 221
* ΔH_f (0 K): 556 meV/atom

Cell: 4.690 4.690 4.690 Å, 90.00 90.00 90.00°
Each line ends with the local moment (μB).
Atoms (fractional coordinates):
Zn: 0.000 0.000 0.500  -0.03
Zn: 0.000 0.500 0.000  -0.03
Zn: 0.500 0.000 0.000  -0.03
Ir: 0.000 0.000 0.000  0.22
As: 0.500 0.500 0.500  0.42

=====

Entry 5:
BaLiIn2 | SCAN | PBEsol geometry

Properties
* SG: No. 123
* ΔH_f (0 K): -436 meV/atom

Cell: 3.604 3.604 8.190 Å, 90.00 90.00 90.00°
Atoms (fractional coordinates):
Ba: 0.500 0.500 0.500
In: 0.000 0.000 0.813
In: 0.000 0.000 0.187
Li: 0.500 0.500 0.000

=====

Entry 6:
FeNiSb6 | SCAN | PBEsol geometry

Properties
* SG: No. 12
* formation energy without anion corrections: -124 meV/atom

Cell: 7.801 7.801 7.828 Å, 109.50 109.45 109.32°
Atoms (fractional coordinates):
Sb: 0.844 0.506 0.670
Sb: 0.493 0.331 0.156
Sb: 0.156 0.494 0.330
Sb: 0.326 0.839 0.165
Sb: 0.674 0.161 0.835
Sb: 0.660 0.842 0.501
Sb: 0.340 0.158 0.499
Sb: 0.174 0.337 0.844
Sb: 0.836 0.174 0.330
Sb: 0.164 0.826 0.670
Sb: 0.507 0.669 0.844
Sb: 0.826 0.663 0.156
Ni: 0.000 0.000 0.500
Ni: 0.500 0.500 0.500
Fe: 0.000 0.500 0.000
Fe: 0.500 0.000 0.000

=====

Entry 7:
BeRuW2 | SCAN | PBEsol geometry

Properties
* SG: No. 65
* offset from the most stable computed form: 0.294 eV/f.u.
* ΔH_f (0 K): 187 meV/atom

Cell: 2.699 4.684 4.684 Å, 112.12 90.00 90.00°
Atoms (fractional coordinates):
Be: 0.500 0.000 0.000
W: 0.000 0.000 0.500
W: 0.000 0.500 0.000
Ru: 0.500 0.500 0.500

=====

Entry 8:
PtRhAu4 | SCAN | PBEsol geometry

Properties
* SG: No. 216
* ΔH_f (0 K): 518 meV/atom

Cell: 5.262 5.262 5.262 Å, 60.00 60.00 60.00°
Each line ends with the local moment (μB).
Atoms (fractional coordinates):
Au: 0.375 0.875 0.375  0.00
Au: 0.375 0.375 0.875  0.00
Au: 0.375 0.375 0.375  0.00
Au: 0.875 0.375 0.375  0.00
Rh: 0.000 0.000 0.000  0.94
Pt: 0.750 0.750 0.750  0.15

=====

What did we get for magnetic moment? Answer: 0.0 0.0 4.5 0.8 0.0 0.0 0.0 1.0 μB/f.u., in the order shown.